Na6CoH8S4O20 | PBE with a Hubbard U | relaxed

Cell lengths 5.8139, 6.6979, 11.2617 Å; angles 106.90, 95.73, 102.65 degrees
With the nearest neighbours (Å) after each atom.
Atoms (fractional coordinates):
H: 0.8370 0.7262 0.1137  1 O 1.01
O: 0.5800 0.1744 0.2202  1 S 1.49, 1 H 1.67
O: 0.3972 0.3991 0.3749  1 S 1.47
O: 0.9957 0.3609 0.7989  1 S 1.51, 1 H 1.63
H: 0.1630 0.2738 0.8863  1 O 1.01
O: 0.0439 0.3746 0.5862  1 S 1.49
Co: 0.0000 0.0000 0.0000  6 O 2.04-2.14
O: 0.7935 0.2327 0.0313  2 H 0.99-1.00
O: 0.8462 0.8551 0.8151  1 S 1.50
O: 0.7432 0.7867 0.0590  2 H 1.00-1.01
S: 0.6037 0.7001 0.7603  4 O 1.47-1.50
O: 0.2568 0.2133 0.9410  2 H 1.00-1.01
O: 0.4200 0.8256 0.7798  1 S 1.49, 1 H 1.67
O: 0.6028 0.6009 0.6251  1 S 1.47
Na: 0.4125 0.2367 0.5343  6 O 2.32-2.57
Na: 0.9455 0.2684 0.3604  5 O 2.27-2.45
O: 0.1384 0.0872 0.6527  1 S 1.48
O: 0.7198 0.1048 0.6172  1 S 1.49
H: 0.6895 0.1907 0.0908  1 O 1.00
O: 0.4423 0.4652 0.1755  1 S 1.48
H: 0.3350 0.3321 0.0211  1 O 1.00
O: 0.5577 0.5348 0.8245  1 S 1.48
Na: 0.5875 0.7633 0.4657  6 O 2.32-2.57
Na: 0.0545 0.7316 0.6396  5 O 2.27-2.45
Na: 0.4235 0.8074 0.1804  6 O 2.30-2.52
O: 0.0043 0.6391 0.2011  1 S 1.51, 1 H 1.63
S: 0.3963 0.2999 0.2397  4 O 1.47-1.50
O: 0.8616 0.9128 0.3473  1 S 1.48
S: 0.0249 0.7690 0.3374  4 O 1.48-1.51
H: 0.6650 0.6679 0.9789  1 O 1.00
H: 0.3105 0.8093 0.9092  1 O 1.00
H: 0.1085 0.6227 0.9130  1 O 0.99
O: 0.2803 0.8952 0.3828  1 S 1.49
O: 0.1538 0.1449 0.1849  1 S 1.50
H: 0.8915 0.3773 0.0870  1 O 0.99
S: 0.9751 0.2310 0.6626  4 O 1.48-1.51
O: 0.2065 0.7673 0.9687  2 H 0.99-1.00
Na: 0.5765 0.1926 0.8196  6 O 2.30-2.52
O: 0.9561 0.6254 0.4138  1 S 1.49

Computed properties:
Spin magnetization   3.00 μB per cell
Calculated volume   10.3 Å³/atom
Total DFT energy (no corrections)   -214.08 eV for the cell shown